The following is a DFT calculation (PBE+U) of CrRhOF2 after structural relaxation.

Cell lengths 4.3754, 4.3754, 3.7468 Å; angles 90.00, 90.00, 90.00 degrees
Space group P4/mmm (No. 123)
Symmetry-distinct sites (fractional):
Cr  0.0000  0.0000  0.0000 [1 per cell]
Rh  0.5000  0.5000  0.5000 [1 per cell]
O  0.5000  0.5000  0.0000 [1 per cell]
F  0.0000  0.5000  0.5000 [2 per cell]

Calculated values
For the total energy, the calculation gives -5.565 eV per atom.